VASP calculation (PBE-GGA) on CaZrP2 after structural relaxation.

a b c (Å): 3.878 3.878 10.439
angles (deg): 90.00 90.00 90.00
Element x y z (fractional)
Ca (0.000, 0.000, 0.000)
Ca (0.500, 0.500, 0.500)
Zr (0.000, 0.500, 0.250)
Zr (0.500, 0.000, 0.750)
P (0.000, 0.000, 0.500)
P (0.000, 0.500, 0.750)
P (0.500, 0.000, 0.250)
P (0.500, 0.500, 0.000)

VASP calculation (PBE-GGA) on Ca2ZrP after structural relaxation.

a b c (Å): 3.635 5.343 11.152
angles (deg): 90.00 90.00 90.00
Element x y z (fractional)
Ca (0.000, 0.000, 0.000)
Ca (0.000, 0.500, 0.187)
Ca (0.500, 0.000, 0.687)
Ca (0.500, 0.500, 0.500)
Zr (0.000, 0.000, 0.371)
Zr (0.500, 0.500, 0.871)
P (0.000, 0.500, 0.709)
P (0.500, 0.000, 0.209)

VASP calculation (PBE-GGA) on Ca2Zr2P after structural relaxation.

a b c (Å): 3.814 3.814 19.646
angles (deg): 90.00 90.00 90.00
Element x y z (fractional)
Ca (0.000, 0.000, 0.081)
Ca (0.000, 0.000, 0.919)
Ca (0.500, 0.500, 0.419)
Ca (0.500, 0.500, 0.581)
Zr (0.000, 0.500, 0.250)
Zr (0.000, 0.500, 0.750)
Zr (0.500, 0.000, 0.250)
Zr (0.500, 0.000, 0.750)
P (0.000, 0.000, 0.500)
P (0.500, 0.500, 0.000)

VASP calculation (PBE-GGA) on Ca2ZrP after structural relaxation.

a b c (Å): 3.639 3.639 29.278
angles (deg): 90.00 90.00 120.00
Element x y z (fractional)
Ca (0.000, 0.000, 0.229)
Ca (0.000, 0.000, 0.771)
Ca (0.333, 0.667, 0.437)
Ca (0.333, 0.667, 0.896)
Ca (0.667, 0.333, 0.104)
Ca (0.667, 0.333, 0.563)
Zr (0.000, 0.000, 0.000)
Zr (0.333, 0.667, 0.667)
Zr (0.667, 0.333, 0.333)
P (0.000, 0.000, 0.500)
P (0.333, 0.667, 0.167)
P (0.667, 0.333, 0.833)

Values for raw total energy, eV per atom, ordered as above
-6.0221 -4.8603 -5.2171 -4.5711